A relaxed CuSeBr crystal. Source: the Alexandria database, functional GGA-PBE.

For the uncorrected formation energy, the calculation gives 0.21 eV/atom. The value obtained for the size of the total moment is 0.00 μB per cell.

The space group is I4mm (No. 107) and the conventional cell measures 3.144, 3.144 and 15.034 Å, with angles of 90.00, 90.00 and 90.00 degrees. The inequivalent atoms are Cu at (0.000, 0.000, 0.000), Se at (0.000, 0.000, 0.573) and Br at (0.000, 0.000, 0.327).

---

A relaxed NbAg3I2F6 crystal. Source: the Alexandria database, functional GGA-PBE.

For the uncorrected formation energy, the calculation gives -1.80 eV/atom. The value obtained for the size of the total moment is 0.00 μB per cell.

The space group is C2/m (No. 12) and the conventional cell measures 14.575, 7.568 and 5.089 Å, with angles of 90.00, 97.16 and 90.00 degrees. The inequivalent atoms are Nb at (0.000, 0.000, 0.000), Ag at (0.000, 0.500, 0.500), Ag at (0.250, 0.250, 0.000), I at (0.187, 0.500, 0.641), F at (0.058, 0.183, 0.231) and F at (0.108, 0.000, 0.811).

---

A relaxed RbLa2SbP crystal. Source: the Alexandria database, functional GGA-PBE.

For the uncorrected formation energy, the calculation gives -0.57 eV/atom. The value obtained for the size of the total moment is 0.00 μB per cell.

The space group is P4/mmm (No. 123) and the conventional cell measures 5.622, 5.622 and 5.936 Å, with angles of 90.00, 90.00 and 90.00 degrees. The inequivalent atoms are Rb at (0.000, 0.000, 0.000), La at (0.000, 0.500, 0.500), Sb at (0.500, 0.500, 0.000) and P at (0.000, 0.000, 0.500).

---

A relaxed TaMn2AuN crystal. Source: the Alexandria database, functional GGA-PBE.

For the uncorrected formation energy, the calculation gives -0.18 eV/atom. The value obtained for the size of the total moment is 0.01 μB per cell.

The space group is P4/mmm (No. 123) and the conventional cell measures 3.909, 3.909 and 4.139 Å, with angles of 90.00, 90.00 and 90.00 degrees. The inequivalent atoms are Ta at (0.000, 0.000, 0.000), Mn at (0.000, 0.500, 0.500), Au at (0.500, 0.500, 0.000) and N at (0.000, 0.000, 0.500).

---

A relaxed UPaAsO2 crystal. Source: the Alexandria database, functional GGA-PBE.

For the uncorrected formation energy, the calculation gives -2.34 eV/atom. The value obtained for the size of the total moment is 7.77 μB per cell.

The space group is I4mm (No. 107) and the conventional cell measures 3.812, 3.812 and 11.947 Å, with angles of 90.00, 90.00 and 90.00 degrees. The inequivalent atoms are U at (0.000, 0.000, 0.000), Pa at (0.000, 0.000, 0.725), As at (0.000, 0.000, 0.365) and O at (0.000, 0.500, 0.118).

---

A relaxed KSr2IrO5 crystal. Source: the Alexandria database, functional GGA-PBE.

For the uncorrected formation energy, the calculation gives -1.83 eV/atom. The value obtained for the size of the total moment is 3.16 μB per cell.

The space group is Immm (No. 71) and the conventional cell measures 3.897, 6.203 and 11.604 Å, with angles of 90.00, 90.00 and 90.00 degrees. The inequivalent atoms are K at (0.000, 0.000, 0.000), Sr at (0.000, 0.500, 0.221), Ir at (0.000, 0.000, 0.500), O at (0.000, 0.220, 0.371) and O at (0.000, 0.500, 0.000).

---

A relaxed ZnP crystal. Source: the Alexandria database, functional GGA-PBE.

The value obtained for the size of the total moment is 0.00 μB per cell. For the formation energy, the calculation gives 0.405 eV/atom.

The space group is Cmme (No. 67) and the conventional cell measures 3.080, 4.796 and 9.011 Å, with angles of 90.00, 90.00 and 90.00 degrees. The inequivalent atoms are Zn at (0.000, 0.250, 0.128) and P at (0.000, 0.250, 0.592).

---

A relaxed Sr2TmS3 crystal. Source: the Alexandria database, functional GGA-PBE.

For the uncorrected formation energy, the calculation gives -2.04 eV/atom. The value obtained for the size of the total moment is 0.00 μB per cell.

The space group is Fddd (No. 70, origin choice 2) and the conventional cell measures 8.253, 11.635 and 24.573 Å, with angles of 90.00, 90.00 and 90.00 degrees. The inequivalent atoms are Sr at (0.125, 0.125, 0.044), Sr at (0.125, 0.125, 0.373), Tm at (0.125, 0.125, 0.541), S at (0.102, 0.375, 0.875) and S at (0.114, 0.364, 0.712).

---

A relaxed Pm2Pr4YSc crystal. Source: the Alexandria database, functional GGA-PBE.

The value obtained for the size of the total moment is 0.00 μB per cell. For the formation energy, the calculation gives 0.028 eV/atom.

The space group is Pmmm (No. 47) and the conventional cell measures 5.142, 5.171 and 10.117 Å, with angles of 90.00, 90.00 and 90.00 degrees. The inequivalent atoms are Pm at (0.000, 0.000, 0.000), Pm at (0.500, 0.500, 0.500), Pr at (0.000, 0.500, 0.244), Pr at (0.500, 0.000, 0.245), Y at (0.000, 0.000, 0.500) and Sc at (0.500, 0.500, 0.000).

---

A relaxed NdErCCl crystal. Source: the Alexandria database, functional GGA-PBE.

For the uncorrected formation energy, the calculation gives -1.05 eV/atom. The value obtained for the size of the total moment is 0.00 μB per cell.

The space group is R3m (No. 160, hexagonal axes) and the conventional cell measures 3.6687, 3.6687 and 21.1209 Å, with angles of 90.00, 90.00 and 120.00 degrees. The inequivalent atoms are Nd at (0.0000, 0.0000, 0.0000), Er at (0.0000, 0.0000, 0.7924), C at (0.0000, 0.0000, 0.4033) and Cl at (0.0000, 0.0000, 0.2226).

---

A relaxed K2NaPPd crystal. Source: the Alexandria database, functional GGA-PBE.

The calculation puts the excess energy over the best structure of this formula in the dataset at 0 meV/atom. The value obtained for the size of the total moment is 0.00 μB per cell. For the formation energy, the calculation gives -0.157 eV/atom.

The space group is P4/mmm (No. 123) and the conventional cell measures 6.414, 6.414 and 4.445 Å, with angles of 90.00, 90.00 and 90.00 degrees. The inequivalent atoms are K at (0.000, 0.500, 0.000), Na at (0.000, 0.000, 0.500), P at (0.500, 0.500, 0.000) and Pd at (0.500, 0.500, 0.500).

---

A relaxed NdSm2C3 crystal. Source: the Alexandria database, functional GGA-PBE.

The value obtained for the size of the total moment is 0.00 μB per cell. For the formation energy, the calculation gives 0.014 eV/atom.

The space group is Imma (No. 74) and the conventional cell measures 5.889, 10.554 and 7.798 Å, with angles of 90.00, 90.00 and 90.00 degrees. The inequivalent atoms are Nd at (0.000, 0.250, 0.029), Sm at (0.000, 0.075, 0.666), C at (0.115, 0.000, 0.000) and C at (0.250, 0.250, 0.750).

---

Number 1: volume 24.8 Å³/atom, E -2.873 eV/atom. Number 2: volume 23.2 Å³/atom, E -4.548 eV/atom. Number 3: volume 37.5 Å³/atom, E -4.643 eV/atom. Number 4: volume 12.7 Å³/atom, E -8.544 eV/atom. Number 5: volume 17.4 Å³/atom, E -9.412 eV/atom. Number 6: volume 15.6 Å³/atom, E -6.067 eV/atom. Number 7: volume 16.6 Å³/atom, E -2.936 eV/atom. Number 8: volume 24.6 Å³/atom, E -5.411 eV/atom. Number 9: volume 33.6 Å³/atom, E -5.149 eV/atom. Number 10: volume 20.5 Å³/atom, E -6.155 eV/atom. Number 11: volume 36.6 Å³/atom, E -2.980 eV/atom. Number 12: volume 20.2 Å³/atom, E -6.965 eV/atom.